(1)
An optimized crystal structure of TmScB. Source: the Open Quantum Materials Database, functional GGA-PBE.

Relative energy among the computed polymorphs = 0 meV per atom
VASP energy = -5.879 eV/atom

CIF file:
```
data_TmScB
_cell_length_a 6.1246
_cell_length_b 6.1246
_cell_length_c 6.1246
_cell_angle_alpha 90.00
_cell_angle_beta 90.00
_cell_angle_gamma 90.00
_space_group_name_H-M_alt 'F -4 3 m'
_space_group_IT_number 216
_space_group_name_Hall 'F -4 2 3'
loop_
_atom_site_label
_atom_site_type_symbol
_atom_site_fract_x
_atom_site_fract_y
_atom_site_fract_z
Tm1 Tm 0.0000 0.0000 0.0000
Sc1 Sc 0.0000 0.0000 0.5000
B1 B 0.2500 0.2500 0.7500
```

(2)
An optimized crystal structure of Sc6PaCd. Source: the Open Quantum Materials Database, functional GGA-PBE.

E_form = 73.1 meV per atom
VASP energy = -5.972 eV/atom

CIF file:
```
data_Sc6PaCd
_cell_length_a 8.1156
_cell_length_b 8.1156
_cell_length_c 9.8429
_cell_angle_alpha 90.00
_cell_angle_beta 90.00
_cell_angle_gamma 120.00
_space_group_name_H-M_alt 'R -3'
_space_group_IT_number 148
_space_group_name_Hall '-R 3'
loop_
_atom_site_label
_atom_site_type_symbol
_atom_site_fract_x
_atom_site_fract_y
_atom_site_fract_z
Sc1 Sc 0.0019 0.7467 0.2504
Pa1 Pa 0.0000 0.0000 0.0000
Cd1 Cd 0.0000 0.0000 0.5000
```